Entry from the Alexandria database: an optimized crystal structure of InReTc2 (PBE-GGA).

Calculated values
- formation enthalpy at 0 K (kcal/mol of atoms) = 6.17

Cell and atoms, written as POSCAR:
```
InReTc2
1.0
3.9412 0.0000 0.0000
0.0000 2.8554 0.0080
0.0000 2.8454 5.7878
Tc Re In
2 1 1
Direct
0.0000 0.4634 0.5328
0.0000 0.0366 0.9672
0.5000 0.7500 0.7500
0.5000 0.2500 0.2500
```



Entry from the Alexandria database: an optimized crystal structure of InReTc2 (PBE-GGA).

Calculated values
- formation enthalpy at 0 K (kcal/mol of atoms) = 11.32

Cell and atoms, written as POSCAR:
```
InReTc2
1.0
-3.8060 -0.1755 2.3767
0.0730 -1.4399 4.2529
-0.6825 2.8964 3.3631
Tc In Re
2 1 1
Direct
0.2500 0.2500 0.2500
0.0000 0.0000 0.0000
0.5000 0.5000 0.5000
0.7500 0.7500 0.7500
```



Entry from the Alexandria database: an optimized crystal structure of InReTc2 (PBE-GGA).

Calculated values
- formation enthalpy at 0 K (kcal/mol of atoms) = 10.08

Cell and atoms, written as POSCAR:
```
InReTc2
1.0
4.7853 0.1159 0.0000
-1.4544 4.5604 0.0000
0.0000 0.0000 2.9083
Tc Re In
2 1 1
Direct
0.0000 0.0000 0.0000
0.5000 0.5000 0.0000
0.0000 0.5000 0.5000
0.5000 0.0000 0.5000
```



Entry from the Alexandria database: an optimized crystal structure of InReTc2 (PBE-GGA).

Calculated values
- formation enthalpy at 0 K (kcal/mol of atoms) = 5.83

Cell and atoms, written as POSCAR:
```
InReTc2
1.0
2.8581 0.0000 0.0000
0.0000 2.8581 0.0000
0.0000 0.0000 7.8925
In Tc Re
1 2 1
Direct
0.0000 0.0000 0.4977
0.0000 0.0000 0.0006
0.5000 0.5000 0.2265
0.5000 0.5000 0.7752
```



Entry from the Alexandria database: an optimized crystal structure of InRe2Tc (PBE-GGA).

Calculated values
- formation enthalpy at 0 K (kcal/mol of atoms) = 10.30

Cell and atoms, written as POSCAR:
```
InRe2Tc
1.0
-0.9546 -3.9765 3.3303
0.5128 -4.9017 -1.8775
2.4730 4.5826 0.8357
Re In Tc
2 1 1
Direct
0.9919 0.9919 0.0000
0.7533 0.2533 0.5000
0.2497 0.7497 0.5000
0.5051 0.5051 0.0000
```



Entry from the Alexandria database: an optimized crystal structure of InReTc2 (PBE-GGA).

Calculated values
- formation enthalpy at 0 K (kcal/mol of atoms) = 7.12

Cell and atoms, written as POSCAR:
```
InReTc2
1.0
4.9659 0.0044 -0.0082
4.1040 2.7960 -0.0082
1.0983 0.3391 4.6550
Tc In Re
2 1 1
Direct
0.7369 0.7369 0.7722
0.9998 0.9998 0.0098
0.4996 0.4996 0.5078
0.2636 0.2636 0.2102
```



Entry from the Alexandria database: an optimized crystal structure of In4ReTc (PBE-GGA).

Calculated values
- formation enthalpy at 0 K (kcal/mol of atoms) = 27.84

Cell and atoms, written as POSCAR:
```
In4ReTc
1.0
0.0000 3.9574 3.9574
3.9574 0.0000 3.9574
3.9574 3.9574 0.0000
In Tc Re
4 1 1
Direct
0.3749 0.8752 0.3749
0.3749 0.3749 0.3749
0.3749 0.3749 0.8752
0.8752 0.3749 0.3749
0.0000 0.0000 0.0000
0.7500 0.7500 0.7500
```



Entry from the Alexandria database: an optimized crystal structure of InRe2Tc2 (PBE-GGA).

Calculated values
- formation enthalpy at 0 K (kcal/mol of atoms) = 6.74

Cell and atoms, written as POSCAR:
```
InRe2Tc2
1.0
-4.4979 -4.1030 -4.6333
4.0058 -6.2961 1.6867
-1.7570 -0.5342 2.1787
Re In Tc
4 2 4
Direct
0.8469 0.3469 0.5000
0.6531 0.8469 0.5000
0.3469 0.1531 0.5000
0.1531 0.6531 0.5000
0.5000 0.5000 0.0000
0.0000 0.0000 0.0000
0.6336 0.1336 0.0000
0.8664 0.6336 0.0000
0.3664 0.8664 0.0000
0.1336 0.3664 0.0000
```



Entry from the Alexandria database: an optimized crystal structure of InReTc2 (PBE-GGA).

Calculated values
- formation enthalpy at 0 K (kcal/mol of atoms) = 7.31

Cell and atoms, written as POSCAR:
```
InReTc2
1.0
-1.9039 -3.4239 3.5418
1.9895 -4.8920 0.0410
1.1501 5.1350 0.4479
Tc Re In
2 1 1
Direct
0.0035 0.0035 0.0000
0.7543 0.2543 0.5000
0.2427 0.7427 0.5000
0.4995 0.4995 0.0000
```



Entry from the Alexandria database: an optimized crystal structure of InReTc2 (PBE-GGA).

Calculated values
- formation enthalpy at 0 K (kcal/mol of atoms) = 6.99

Cell and atoms, written as POSCAR:
```
InReTc2
1.0
-0.9624 3.7633 1.0734
-1.7797 -1.0229 1.9904
2.4296 -1.0215 5.7596
Re Tc In
1 2 1
Direct
0.5000 0.7120 0.7904
0.5000 0.2748 0.2249
0.0000 0.0060 0.9911
0.0000 0.5072 0.4935
```



Entry from the Alexandria database: an optimized crystal structure of InRe2Tc (PBE-GGA).

Calculated values
- formation enthalpy at 0 K (kcal/mol of atoms) = 7.61

Cell and atoms, written as POSCAR:
```
InRe2Tc
1.0
9.3871 -0.0060 -0.0035
8.9588 2.8032 -0.0035
8.9588 1.3659 2.4479
Re In Tc
2 1 1
Direct
0.4943 0.4943 0.4943
0.0057 0.0057 0.0057
0.2500 0.2500 0.2500
0.7500 0.7500 0.7500
```



Entry from the Alexandria database: an optimized crystal structure of InRe2Tc (PBE-GGA).

Calculated values
- formation enthalpy at 0 K (kcal/mol of atoms) = 5.44

Cell and atoms, written as POSCAR:
```
InRe2Tc
1.0
2.8700 0.0000 0.0000
0.0000 2.8700 0.0000
0.0000 0.0000 7.8825
In Tc Re
1 1 2
Direct
0.5000 0.5000 0.7477
0.0000 0.0000 0.4767
0.5000 0.5000 0.2512
0.0000 0.0000 0.0244
```



Entry from the Alexandria database: an optimized crystal structure of InRe2Tc (PBE-GGA).

Calculated values
- formation enthalpy at 0 K (kcal/mol of atoms) = 21.92

Cell and atoms, written as POSCAR:
```
InRe2Tc
1.0
7.4894 0.0000 0.0000
0.0000 7.4894 0.0000
3.7447 3.7447 2.6334
Re Tc In
4 2 2
Direct
0.3750 0.4300 0.7500
0.1800 0.6250 0.2500
0.5700 0.1250 0.2500
0.8750 0.8200 0.7500
0.2500 0.7500 0.5000
0.5000 0.5000 0.0000
0.0000 0.0000 0.0000
0.7500 0.2500 0.5000
```



Entry from the Alexandria database: an optimized crystal structure of InReTc2 (PBE-GGA).

Calculated values
- formation enthalpy at 0 K (kcal/mol of atoms) = 10.78

Cell and atoms, written as POSCAR:
```
InReTc2
1.0
-0.9403 -0.7123 -2.5302
2.7751 0.0407 0.3010
-0.1472 -8.9097 2.5630
Tc Re In
2 1 1
Direct
0.5000 0.5000 0.2356
0.0000 0.0000 0.0012
0.5000 0.5000 0.7658
0.0000 0.0000 0.4974
```



Entry from the Alexandria database: an optimized crystal structure of InRe2Tc (PBE-GGA).

Calculated values
- formation enthalpy at 0 K (kcal/mol of atoms) = 12.03

Cell and atoms, written as POSCAR:
```
InRe2Tc
1.0
-1.7638 -0.9808 1.9235
1.1961 -1.9078 -1.6438
7.0594 -0.8002 6.0652
Re In Tc
2 1 1
Direct
0.0000 0.0000 0.4847
0.0000 0.0000 0.0153
0.5000 0.5000 0.7500
0.5000 0.5000 0.2500
```



Entry from the Alexandria database: an optimized crystal structure of InRe2Tc (PBE-GGA).

Calculated values
- formation enthalpy at 0 K (kcal/mol of atoms) = 7.88

Cell and atoms, written as POSCAR:
```
InRe2Tc
1.0
3.9831 0.0000 0.0000
0.0000 2.8542 -0.0041
0.0000 2.8635 5.7560
Re Tc In
2 1 1
Direct
0.0000 0.9616 0.0392
0.5000 0.2552 0.2421
0.0000 0.5262 0.4750
0.5000 0.7570 0.7437
```



Entry from the Alexandria database: an optimized crystal structure of InRe2Tc (PBE-GGA).

Calculated values
- formation enthalpy at 0 K (kcal/mol of atoms) = 15.51

Cell and atoms, written as POSCAR:
```
InRe2Tc
1.0
-1.0377 -4.5113 -0.4594
4.4585 -0.9291 -0.9480
0.5307 -0.4179 2.9055
In Re Tc
1 2 1
Direct
0.0000 0.5000 0.5000
0.0000 0.0000 0.0000
0.5000 0.5000 0.0000
0.5000 0.0000 0.5000
```



Entry from the Alexandria database: an optimized crystal structure of InReTc2 (PBE-GGA).

Calculated values
- formation enthalpy at 0 K (kcal/mol of atoms) = 6.73

Cell and atoms, written as POSCAR:
```
InReTc2
1.0
9.2853 -0.0071 -0.0042
8.8497 2.8107 -0.0042
8.8497 1.3681 2.4553
In Re Tc
1 1 2
Direct
0.5008 0.5008 0.5008
0.7442 0.7442 0.7442
0.2554 0.2554 0.2554
0.9996 0.9996 0.9996
```



Entry from the Alexandria database: an optimized crystal structure of InReTc2 (PBE-GGA).

Calculated values
- formation enthalpy at 0 K (kcal/mol of atoms) = 9.00

Cell and atoms, written as POSCAR:
```
InReTc2
1.0
-1.6493 -2.3752 -1.2172
3.7016 -1.4989 -2.0909
1.0014 -2.5352 3.5903
In Re Tc
1 1 2
Direct
0.5000 0.5000 0.0000
0.5000 0.0000 0.5000
0.0000 0.5000 0.5000
0.0000 0.0000 0.0000
```



Entry from the Alexandria database: an optimized crystal structure of InReTc2 (PBE-GGA).

Calculated values
- formation enthalpy at 0 K (kcal/mol of atoms) = 8.90

Cell and atoms, written as POSCAR:
```
InReTc2
1.0
5.2408 -0.0031 -0.0036
2.3193 4.6997 0.0036
-3.2746 -3.1620 2.5971
Re Tc In
1 2 1
Direct
0.2500 0.7500 0.5000
0.0104 0.0104 0.0000
0.4896 0.4896 0.0000
0.7500 0.2500 0.5000
```



Entry from the Alexandria database: an optimized crystal structure of InReTc2 (PBE-GGA).

Calculated values
- formation enthalpy at 0 K (kcal/mol of atoms) = 18.05

Cell and atoms, written as POSCAR:
```
InReTc2
1.0
7.3728 0.0000 0.0000
0.0000 7.3728 0.0000
3.6864 3.6864 2.7259
Tc In Re
4 2 2
Direct
0.3750 0.3191 0.7500
0.6809 0.1250 0.2500
0.8750 0.9309 0.7500
0.0691 0.6250 0.2500
0.5000 0.5000 0.0000
0.2500 0.7500 0.5000
0.0000 0.0000 0.0000
0.7500 0.2500 0.5000
```



Entry from the Alexandria database: an optimized crystal structure of InRe2Tc (PBE-GGA).

Calculated values
- formation enthalpy at 0 K (kcal/mol of atoms) = 10.85

Cell and atoms, written as POSCAR:
```
InRe2Tc
1.0
5.1269 -0.0035 0.0000
2.2605 4.6017 0.0000
-3.6937 -2.2991 2.7122
Re In Tc
2 1 1
Direct
0.0000 0.0000 0.0000
0.5000 0.5000 0.0000
0.7500 0.2500 0.5000
0.2500 0.7500 0.5000
```



Entry from the Alexandria database: an optimized crystal structure of InRe2Tc (PBE-GGA).

Calculated values
- formation enthalpy at 0 K (kcal/mol of atoms) = 6.46

Cell and atoms, written as POSCAR:
```
InRe2Tc
1.0
9.3032 -0.0043 -0.0025
8.8662 2.8177 -0.0025
8.8662 1.3729 2.4607
Re In Tc
2 1 1
Direct
0.7504 0.7504 0.7504
0.0055 0.0055 0.0055
0.2493 0.2493 0.2493
0.4949 0.4949 0.4949
```



Entry from the Alexandria database: an optimized crystal structure of InRe2Tc (PBE-GGA).

Calculated values
- formation enthalpy at 0 K (kcal/mol of atoms) = 8.90

Cell and atoms, written as POSCAR:
```
InRe2Tc
1.0
-2.3405 0.6995 3.2487
0.0680 -2.7853 0.6487
4.6506 -1.9472 3.7698
In Re Tc
1 2 1
Direct
0.5000 0.7500 0.7500
0.0000 0.5299 0.4697
0.0000 0.9701 0.0303
0.5000 0.2500 0.2500
```



Entry from the Alexandria database: an optimized crystal structure of InReTc2 (PBE-GGA).

Calculated values
- formation enthalpy at 0 K (kcal/mol of atoms) = 12.27

Cell and atoms, written as POSCAR:
```
InReTc2
1.0
-1.4611 2.2326 -1.6327
-0.9068 -3.0908 -3.4150
-3.7774 -1.0462 1.9499
Tc Re In
2 1 1
Direct
0.0000 0.0000 0.0000
0.5000 0.5000 0.0000
0.0000 0.5000 0.5000
0.5000 0.0000 0.5000
```



Entry from the Alexandria database: an optimized crystal structure of InReTc2 (PBE-GGA).

Calculated values
- formation enthalpy at 0 K (kcal/mol of atoms) = 7.66

Cell and atoms, written as POSCAR:
```
InReTc2
1.0
4.8928 0.0010 -0.0183
4.0267 2.7794 -0.0183
1.0500 0.3273 4.7724
Tc Re In
2 1 1
Direct
0.9865 0.9865 0.0340
0.5135 0.5135 0.4660
0.2500 0.2500 0.2500
0.7500 0.7500 0.7500
```



Entry from the Alexandria database: an optimized crystal structure of InRe2Tc (PBE-GGA).

Calculated values
- formation enthalpy at 0 K (kcal/mol of atoms) = 8.53

Cell and atoms, written as POSCAR:
```
InRe2Tc
1.0
-5.0773 0.1641 -1.5535
-3.5584 -2.9311 2.6393
3.6489 3.8401 0.3976
In Tc Re
1 1 2
Direct
0.2500 0.7500 0.5000
0.7500 0.2500 0.5000
0.5051 0.5051 0.0000
0.9949 0.9949 0.0000
```



Entry from the Alexandria database: an optimized crystal structure of InRe2Tc (PBE-GGA).

Calculated values
- formation enthalpy at 0 K (kcal/mol of atoms) = 11.58

Cell and atoms, written as POSCAR:
```
InRe2Tc
1.0
-1.2280 -4.4970 1.2500
3.1998 -1.4550 3.3073
-2.6700 4.0159 -0.1917
Tc Re In
1 2 1
Direct
0.5000 0.5000 0.0000
0.2500 0.7500 0.5000
0.0000 0.0000 0.0000
0.7500 0.2500 0.5000
```



Entry from the Alexandria database: an optimized crystal structure of InRe2Tc (PBE-GGA).

Calculated values
- formation enthalpy at 0 K (kcal/mol of atoms) = 14.32

Cell and atoms, written as POSCAR:
```
InRe2Tc
1.0
4.2526 0.0000 0.0000
0.0000 3.8931 0.0000
0.0000 0.0000 3.8931
Re Tc In
2 1 1
Direct
0.0000 0.5000 0.5000
0.0000 0.0000 0.0000
0.5000 0.5000 0.0000
0.5000 0.0000 0.5000
```



Entry from the Alexandria database: an optimized crystal structure of InRe2Tc (PBE-GGA).

Calculated values
- formation enthalpy at 0 K (kcal/mol of atoms) = 8.42

Cell and atoms, written as POSCAR:
```
InRe2Tc
1.0
5.0022 -0.0008 -0.0083
4.1547 2.7858 -0.0083
1.0790 0.3282 4.6497
Tc Re In
1 2 1
Direct
0.7500 0.7500 0.7500
0.4854 0.4854 0.5294
0.0146 0.0146 0.9706
0.2500 0.2500 0.2500
```